Entry 1:
Computed, not measured: a relaxed structure of ZnReMo at the PBE level of DFT.

POSCAR file:
```
ZnReMo
1.0
4.2438 0.0000 0.0000
2.1219 3.6753 0.0000
2.1219 1.2251 3.4651
Mo Zn Re
1 1 1
Direct
0.5000 0.5000 0.5000
0.0000 0.0000 0.0000
0.7500 0.7500 0.7500
```

- total magnetization (Bohr magnetons per cell) = 0.000
- energy of formation from the pure elements (eV per atom) = 0.711
- energy above the most stable polymorph in this dataset (meV/atom) = 615

=====

Entry 2:
Computed, not measured: a relaxed structure of CePaReOs at the PBE level of DFT.

POSCAR file:
```
CePaReOs
1.0
4.8943 0.0000 0.0000
2.4472 4.2386 0.0000
2.4472 1.4129 3.9962
Os Ce Re Pa
1 1 1 1
Direct
0.5000 0.5000 0.5000
0.7500 0.7500 0.7500
0.0000 0.0000 0.0000
0.2500 0.2500 0.2500
```

- total magnetization (Bohr magnetons per cell) = 0.000
- energy of formation from the pure elements (eV per atom) = 0.002

=====

Entry 3:
Computed, not measured: a relaxed structure of LiTh4Sc3Se8 at the PBE level of DFT.

POSCAR file:
```
LiTh4Sc3Se8
1.0
7.8090 0.0000 0.0000
0.0000 8.3598 0.3820
-3.9045 -3.8996 5.5253
Th Se Sc Li
4 8 3 1
Direct
0.0000 0.0000 0.0000
0.5000 0.0000 0.0000
0.5000 0.0000 0.5000
0.0000 0.0000 0.5000
0.7397 0.7190 0.4793
0.2368 0.7156 0.4737
0.2580 0.2844 0.0212
0.7420 0.7156 0.9788
0.7632 0.2844 0.5263
0.2368 0.7156 0.9788
0.7632 0.2844 0.0212
0.2603 0.2810 0.5207
0.5000 0.5000 0.5000
0.0000 0.5000 0.5000
0.5000 0.5000 0.0000
0.0000 0.5000 0.0000
```

- uncorrected formation energy (eV per atom) = -1.5545
- total magnetization (Bohr magnetons per cell) = 0.000

=====

Look up the total magnetization of the first one.
0.000 Bohr magnetons per cell